# YIn2Cu9 | Alexandria via LeMat-Bulk | PBE-GGA | relaxed
data_YIn2Cu9
_chemical_formula_sum 'Y2 In4 Cu18'
_space_group_name_H-M_alt 'P 4/m b m'
_space_group_IT_number 127
_space_group_name_Hall '-P 4 2ab'
_cell_length_a 8.473
_cell_length_b 8.473
_cell_length_c 5.005
_cell_angle_alpha 90.00
_cell_angle_beta 90.00
_cell_angle_gamma 90.00
loop_
_atom_site_label
_atom_site_fract_x
_atom_site_fract_y
_atom_site_fract_z
Y1 0.000 0.000 0.000
In1 0.125 0.375 0.000
Cu1 0.000 0.500 0.500
Cu2 0.063 0.204 0.500
Cu3 0.177 0.677 0.246
# - Energy of formation from the pure elements: -13 kJ/mol of atoms
# - V: 15.0 A^3/atom
# - E: -4.20 eV per atom
# - M_tot: 0.0 μB per cell
# - Density: 8.2 g/cm³

# PuPaSn2 | Alexandria via LeMat-Bulk | PBE-GGA | relaxed
data_PuPaSn2
_chemical_formula_sum 'Pu4 Pa4 Sn8'
_space_group_name_H-M_alt 'F m -3 m'
_space_group_IT_number 225
_space_group_name_Hall '-F 4 2 3'
_cell_length_a 7.525
_cell_length_b 7.525
_cell_length_c 7.525
_cell_angle_alpha 90.00
_cell_angle_beta 90.00
_cell_angle_gamma 90.00
loop_
_atom_site_label
_atom_site_fract_x
_atom_site_fract_y
_atom_site_fract_z
Pu1 0.000 0.000 0.000
Pa1 0.000 0.000 0.500
Sn1 0.250 0.250 0.250
# - Relative energy among the computed polymorphs: 52.3 kJ/mol of formula units
# - Energy of formation from the pure elements: -15 kJ/mol of atoms
# - V: 26.6 A^3/atom
# - E: -8.11 eV per atom
# - M_tot: 30.9 μB per cell
# - Density: 11.1 g/cm³

# MgCd2InSn | Alexandria via LeMat-Bulk | PBE-GGA | relaxed
data_MgCd2InSn
_chemical_formula_sum 'Mg4 Cd8 In4 Sn4'
_space_group_name_H-M_alt 'C m c m'
_space_group_IT_number 63
_space_group_name_Hall '-C 2c 2'
_cell_length_a 3.126
_cell_length_b 14.825
_cell_length_c 10.541
_cell_angle_alpha 90.00
_cell_angle_beta 90.00
_cell_angle_gamma 90.00
loop_
_atom_site_label
_atom_site_fract_x
_atom_site_fract_y
_atom_site_fract_z
Mg1 0.000 0.055 0.250
Cd1 0.000 0.301 0.598
In1 0.000 0.365 0.250
Sn1 0.000 0.500 0.000
# - Energy of formation from the pure elements: -3 kJ/mol of atoms
# - V: 24.4 A^3/atom
# - E: -2.06 eV per atom
# - M_tot: 0.0 μB per cell
# - Density: 6.6 g/cm³

# LiTbTl2 | Alexandria via LeMat-Bulk | PBE-GGA | relaxed
data_LiTbTl2
_chemical_formula_sum 'Li4 Tb4 Tl8'
_space_group_name_H-M_alt 'F m -3 m'
_space_group_IT_number 225
_space_group_name_Hall '-F 4 2 3'
_cell_length_a 7.345
_cell_length_b 7.345
_cell_length_c 7.345
_cell_angle_alpha 90.00
_cell_angle_beta 90.00
_cell_angle_gamma 90.00
loop_
_atom_site_label
_atom_site_fract_x
_atom_site_fract_y
_atom_site_fract_z
Li1 0.000 0.000 0.000
Tb1 0.000 0.000 0.500
Tl1 0.250 0.250 0.250
# - Energy of formation from the pure elements: -31 kJ/mol of atoms
# - V: 24.8 A^3/atom
# - E: -3.14 eV per atom
# - M_tot: 0.0 μB per cell
# - Density: 9.6 g/cm³